Material: GaFe2Ge
Method: DFT, PBE
State: relaxed

Output
Crystal system: trigonal
ΔH_f (0 K) (eV/atom): 0.03

a = 2.801 Å, b = 2.801 Å, c = 7.874 Å
α = 79.75°, β = 79.75°, γ = 60.00°
Site moments in Bohr magnetons follow the coordinates.
Atoms (fractional coordinates):
Fe: 0.082 0.082 0.754  1.72
Fe: 0.251 0.251 0.246  1.73
Ga: 0.500 0.500 0.500  -0.08
Ge: 0.667 0.667 0.000  -0.08

Material: AlCuAg3
Method: DFT, PBE
State: relaxed

Output
Energy above the most stable polymorph in this dataset (meV/atom): 0
Crystal system: cubic
ΔH_f (0 K) (eV/atom): 0.65

a = 4.799 Å, b = 4.799 Å, c = 4.799 Å
α = 90.00°, β = 90.00°, γ = 90.00°
Atoms (fractional coordinates):
Al: 0.500 0.500 0.500
Ag: 0.000 0.000 0.500
Ag: 0.000 0.500 0.000
Ag: 0.500 0.000 0.000
Cu: 0.000 0.000 0.000

Material: Ca2CeScS4
Method: DFT, PBE
State: relaxed

Output
Crystal system: monoclinic
Raw formation energy (eV per atom): -1.970

a = 3.928 Å, b = 6.795 Å, c = 6.924 Å
α = 109.05°, β = 90.00°, γ = 90.00°
Site moments in Bohr magnetons follow the coordinates.
Atoms (fractional coordinates):
S: 0.000 0.238 0.752  -0.01
S: 0.500 0.766 0.762  -0.01
S: 0.000 0.762 0.248  -0.01
S: 0.500 0.234 0.238  -0.01
Ca: 0.500 0.000 0.500  0.01
Ca: 0.000 0.500 0.500  0.01
Ce: 0.500 0.500 0.000  0.92
Sc: 0.000 0.000 0.000  0.16

Material: PuTeN
Method: DFT, PBE
State: relaxed

Output
Energy above the most stable polymorph in this dataset (meV/atom): 0
Crystal system: tetragonal
Raw formation energy (eV per atom): -1.046

a = 3.956 Å, b = 3.957 Å, c = 8.925 Å
α = 102.84°, β = 102.77°, γ = 90.00°
Site moments in Bohr magnetons follow the coordinates.
Atoms (fractional coordinates):
Pu: 0.878 0.931 0.048  4.37
Pu: 0.250 0.302 0.791  4.37
Te: 0.647 0.699 0.586  -0.07
Te: 0.480 0.534 0.253  -0.07
N: 0.314 0.866 0.920  -0.26
N: 0.814 0.367 0.920  -0.26

Material: LaInSb2
Method: DFT, PBE
State: relaxed

Output
Crystal system: trigonal
Raw formation energy (eV per atom): -0.183

a = 11.552 Å, b = 11.552 Å, c = 11.552 Å
α = 17.34°, β = 17.34°, γ = 17.34°
Atoms (fractional coordinates):
La: 0.750 0.750 0.750
Sb: 0.497 0.497 0.497
Sb: 0.003 0.003 0.003
In: 0.250 0.250 0.250

Material: Tl3Sn3Sb2
Method: DFT, PBE
State: relaxed

Output
Crystal system: orthorhombic
Raw formation energy (eV per atom): 0.015

a = 5.568 Å, b = 6.467 Å, c = 15.678 Å
α = 90.00°, β = 90.00°, γ = 115.50°
Atoms (fractional coordinates):
Sn: 0.616 0.232 0.750
Sn: 0.377 0.754 0.961
Sn: 0.623 0.246 0.039
Sn: 0.384 0.768 0.250
Sn: 0.377 0.754 0.539
Sn: 0.623 0.246 0.461
Sb: 0.216 0.431 0.106
Sb: 0.784 0.569 0.606
Sb: 0.784 0.569 0.894
Sb: 0.216 0.431 0.394
Tl: 0.331 0.663 0.750
Tl: 0.926 0.851 0.121
Tl: 0.669 0.337 0.250
Tl: 0.074 0.149 0.879
Tl: 0.074 0.149 0.621
Tl: 0.926 0.851 0.379

Material: PuTiPdO6
Method: DFT, PBE
State: relaxed

Output
Crystal system: trigonal
Raw formation energy (eV per atom): -2.036

a = 5.357 Å, b = 5.357 Å, c = 9.148 Å
α = 90.00°, β = 90.00°, γ = 120.00°
Site moments in Bohr magnetons follow the coordinates.
Atoms (fractional coordinates):
Ti: 0.667 0.333 0.250  0.08
Ti: 0.333 0.667 0.750  0.08
O: 0.010 0.649 0.865  0.13
O: 0.351 0.990 0.635  0.13
O: 0.639 0.990 0.865  0.13
O: 0.990 0.639 0.365  0.13
O: 0.639 0.649 0.635  0.13
O: 0.649 0.639 0.135  0.13
O: 0.990 0.351 0.135  0.13
O: 0.010 0.361 0.635  0.13
O: 0.351 0.361 0.865  0.13
O: 0.361 0.351 0.365  0.13
O: 0.649 0.010 0.365  0.13
O: 0.361 0.010 0.135  0.13
Pd: 0.000 0.000 0.000  1.12
Pd: 0.000 0.000 0.500  1.12
Pu: 0.667 0.333 0.750  -2.03
Pu: 0.333 0.667 0.250  -2.03

Material: CaCo3S
Method: DFT, PBE
State: relaxed

Output
Energy above the most stable polymorph in this dataset (meV/atom): 0
Crystal system: cubic
Raw formation energy (eV per atom): -0.069

a = 4.237 Å, b = 4.237 Å, c = 4.237 Å
α = 90.00°, β = 90.00°, γ = 90.00°
Site moments in Bohr magnetons follow the coordinates.
Atoms (fractional coordinates):
Co: 0.000 0.000 0.500  0.94
Co: 0.000 0.500 0.000  1.12
Co: 0.500 0.000 0.000  1.34
S: 0.000 0.000 0.000  0.06
Ca: 0.500 0.500 0.500  -0.08

Material: La8HC3Cl4
Method: DFT, PBE
State: relaxed

Output
Total energy (eV for the cell shown): -94.028
Crystal system: trigonal

a = 7.704 Å, b = 8.547 Å, c = 7.708 Å
α = 116.80°, β = 119.98°, γ = 90.00°
Atoms (fractional coordinates):
La: 0.759 0.302 0.043
La: 0.759 0.302 0.518
La: 0.716 0.698 0.957
La: 0.268 0.305 0.537
La: 0.284 0.302 0.043
La: 0.241 0.698 0.957
La: 0.241 0.698 0.482
La: 0.732 0.695 0.463
C: 0.000 0.500 0.500
C: 0.500 0.500 0.500
C: 0.500 0.500 0.000
Cl: 0.000 0.000 0.500
Cl: 0.000 0.000 0.000
Cl: 0.500 0.000 0.500
Cl: 0.500 0.000 0.000
H: 0.000 0.500 0.000

Material: LaHgIr3
Method: DFT, PBE
State: relaxed

Output
Energy above the most stable polymorph in this dataset (meV/atom): 0
Crystal system: cubic
ΔH_f (0 K) (eV/atom): 1.20

a = 4.960 Å, b = 4.960 Å, c = 4.960 Å
α = 90.00°, β = 90.00°, γ = 90.00°
Site moments in Bohr magnetons follow the coordinates.
Atoms (fractional coordinates):
Ir: 0.000 0.000 0.500  0.45
Ir: 0.000 0.500 0.000  0.37
Ir: 0.500 0.000 0.000  0.24
Hg: 0.000 0.000 0.000  -0.01
La: 0.500 0.500 0.500  -0.03

Material: RbSeN2
Method: DFT, PBE
State: relaxed

Output
Crystal system: tetragonal
Raw formation energy (eV per atom): 0.798

a = 6.039 Å, b = 6.039 Å, c = 5.913 Å
α = 59.29°, β = 59.29°, γ = 90.00°
Atoms (fractional coordinates):
N: 0.375 0.526 0.750
N: 0.276 0.625 0.250
N: 0.474 0.125 0.250
N: 0.875 0.724 0.750
Se: 0.250 0.750 0.500
Se: 0.500 0.500 0.000
Rb: 0.000 0.000 0.000
Rb: 0.750 0.250 0.500

Material: GeSbP
Method: DFT, PBE
State: relaxed

Output
Crystal system: monoclinic
Raw formation energy (eV per atom): 0.078

a = 3.808 Å, b = 5.984 Å, c = 7.073 Å
α = 101.43°, β = 90.00°, γ = 90.00°
Atoms (fractional coordinates):
Ge: 0.657 0.446 0.720
Ge: 0.156 0.901 0.532
P: 0.157 0.500 0.528
P: 0.657 0.046 0.723
Sb: 0.157 0.938 0.154
Sb: 0.657 0.576 0.112

Material: CuW4Se
Method: DFT, PBE
State: relaxed

Output
Crystal system: cubic
Raw formation energy (eV per atom): 0.963

a = 5.313 Å, b = 5.313 Å, c = 5.313 Å
α = 60.00°, β = 60.00°, γ = 60.00°
Atoms (fractional coordinates):
Se: 0.000 0.000 0.000
W: 0.376 0.376 0.376
W: 0.376 0.376 0.871
W: 0.871 0.376 0.376
W: 0.376 0.871 0.376
Cu: 0.750 0.750 0.750

Material: Er4GeSeS2
Method: DFT, PBE
State: relaxed

Output
Crystal system: monoclinic
Raw formation energy (eV per atom): -1.675

a = 3.985 Å, b = 6.863 Å, c = 6.931 Å
α = 70.44°, β = 90.00°, γ = 90.00°
Atoms (fractional coordinates):
S: 0.000 0.000 0.000
S: 0.500 0.000 0.500
Ge: 0.500 0.500 0.000
Er: 0.500 0.760 0.236
Er: 0.500 0.240 0.764
Er: 0.000 0.247 0.244
Er: 0.000 0.753 0.756
Se: 0.000 0.500 0.500

Material: Na3RhF
Method: DFT, PBE
State: relaxed

Output
Energy above the most stable polymorph in this dataset (meV/atom): 651
Crystal system: cubic
Raw formation energy (eV per atom): -0.001

a = 5.511 Å, b = 5.511 Å, c = 5.511 Å
α = 90.00°, β = 90.00°, γ = 90.00°
Site moments in Bohr magnetons follow the coordinates.
Atoms (fractional coordinates):
Na: 0.000 0.000 0.500  0.00
Na: 0.500 0.000 0.000  0.00
Na: 0.000 0.500 0.000  0.00
F: 0.500 0.500 0.500  0.00
Rh: 0.000 0.000 0.000  0.89

Material: LiSi2P
Method: DFT, PBE
State: relaxed

Output
Crystal system: monoclinic
Raw formation energy (eV per atom): 0.012

a = 6.000 Å, b = 6.000 Å, c = 4.364 Å
α = 111.17°, β = 111.17°, γ = 24.84°
Atoms (fractional coordinates):
Si: 0.029 0.029 0.029
Si: 0.471 0.471 0.471
Li: 0.750 0.750 0.750
P: 0.250 0.250 0.250

Material: Be2ReTe
Method: DFT, PBE
State: relaxed

Output
Crystal system: tetragonal
Raw formation energy (eV per atom): 0.308

a = 3.207 Å, b = 3.209 Å, c = 6.283 Å
α = 59.29°, β = 90.00°, γ = 90.00°
Atoms (fractional coordinates):
Re: 0.500 0.250 0.250
Te: 0.500 0.750 0.750
Be: 0.000 0.562 0.438
Be: 0.000 0.938 0.062

Material: ZrZn2CdFe
Method: DFT, PBE
State: relaxed

Output
Crystal system: tetragonal
ΔH_f (0 K) (eV/atom): 1.05

a = 5.247 Å, b = 4.596 Å, c = 5.247 Å
α = 90.00°, β = 90.00°, γ = 90.00°
Site moments in Bohr magnetons follow the coordinates.
Atoms (fractional coordinates):
Cd: 0.500 0.500 0.500  0.00
Zn: 0.500 0.000 0.000  -0.03
Zn: 0.000 0.000 0.500  -0.01
Fe: 0.000 0.500 0.000  2.18
Zr: 0.000 0.000 0.000  -0.51

Material: HfCoSeN2
Method: DFT, PBE
State: relaxed

Output
Energy above the most stable polymorph in this dataset (meV/atom): 0
Crystal system: tetragonal
Raw formation energy (eV per atom): 0.545

a = 3.787 Å, b = 3.787 Å, c = 4.557 Å
α = 90.00°, β = 90.00°, γ = 90.00°
Site moments in Bohr magnetons follow the coordinates.
Atoms (fractional coordinates):
N: 0.500 0.000 0.000  0.24
N: 0.000 0.500 0.000  0.24
Se: 0.000 0.000 0.500  0.02
Co: 0.000 0.000 0.000  0.79
Hf: 0.500 0.500 0.500  0.00

Material: CuTe2As
Method: DFT, PBE
State: relaxed

Output
Crystal system: tetragonal
Raw formation energy (eV per atom): 0.393

a = 9.054 Å, b = 9.054 Å, c = 9.054 Å
α = 155.46°, β = 155.46°, γ = 34.98°
Site moments in Bohr magnetons follow the coordinates.
Atoms (fractional coordinates):
Te: 0.000 0.000 0.000  0.00
Te: 0.750 0.250 0.500  0.09
As: 0.500 0.500 0.000  0.02
Cu: 0.250 0.750 0.500  0.03

Material: NaN2ClF
Method: DFT, PBE
State: relaxed

Output
Energy above the most stable polymorph in this dataset (meV/atom): 395
Crystal system: tetragonal
Raw formation energy (eV per atom): 1.402

a = 5.164 Å, b = 5.164 Å, c = 4.119 Å
α = 90.00°, β = 90.00°, γ = 90.00°
Site moments in Bohr magnetons follow the coordinates.
Atoms (fractional coordinates):
F: 0.000 0.000 0.500  -0.05
N: 0.000 0.500 0.000  1.87
N: 0.500 0.000 0.000  1.87
Na: 0.000 0.000 0.000  0.01
Cl: 0.500 0.500 0.500  -0.41

Material: KMg2In4Pb
Method: DFT, PBE
State: relaxed

Output
Crystal system: trigonal
ΔH_f (0 K) (eV/atom): -0.02

a = 5.245 Å, b = 5.245 Å, c = 10.908 Å
α = 76.09°, β = 76.09°, γ = 60.00°
Atoms (fractional coordinates):
K: 0.000 0.000 0.000
Mg: 0.224 0.224 0.329
Mg: 0.776 0.776 0.671
Pb: 0.500 0.500 0.500
In: 0.883 0.883 0.352
In: 0.598 0.598 0.206
In: 0.402 0.402 0.794
In: 0.117 0.117 0.648

Number 1: magnetic moment 3.22 μB/f.u.. Number 2: magnetic moment 0.00 μB/f.u.. Number 3: magnetic moment 1.39 μB/f.u.. Number 4: magnetic moment 4.08 μB/f.u.. Number 5: magnetic moment 0.00 μB/f.u.. Number 6: magnetic moment 0.00 μB/f.u.. Number 7: magnetic moment 0.03 μB/f.u.. Number 8: magnetic moment 3.05 μB/f.u.. Number 9: magnetic moment 0.00 μB/f.u.. Number 10: magnetic moment 0.98 μB/f.u.. Number 11: magnetic moment 0.00 μB/f.u.. Number 12: magnetic moment 0.00 μB/f.u.. Number 13: magnetic moment 0.00 μB/f.u.. Number 14: magnetic moment 0.00 μB/f.u.. Number 15: magnetic moment 1.00 μB/f.u.. Number 16: magnetic moment 0.00 μB/f.u.. Number 17: magnetic moment 0.00 μB/f.u.. Number 18: magnetic moment 1.48 μB/f.u.. Number 19: magnetic moment 1.48 μB/f.u.. Number 20: magnetic moment 0.25 μB/f.u.. Number 21: magnetic moment 4.99 μB/f.u.. Number 22: magnetic moment 0.00 μB/f.u..